Computed, not measured: a geometry-optimized YErIn3 structure at the PBE level of DFT.

Values from the calculation:
Spin magnetization ... 0.00 μB/f.u.
DOS at the Fermi energy ... 0.816 states/eV per atom
Space-group type ... I-4m2
Raw total energy ... -18.6 eV per formula unit
Polymorph energy (0 for the lowest one) ... 0.480 eV per atom

POSCAR file:
```
YErIn3
1.0
5.8092 0.0000 0.0000
0.0000 5.8092 0.0000
-2.9046 -2.9046 10.9700
Y Er In
2 2 6
Direct
0.0000 0.0000 0.0000 Y
0.2500 0.7500 0.5000 Y
0.6696 0.1696 0.3392 Er
0.8304 0.3304 0.6608 Er
0.6248 0.8774 0.7548 In
0.1226 0.8701 0.2452 In
0.1226 0.3752 0.2452 In
0.1299 0.8774 0.7548 In
0.2576 0.2576 0.5151 In
0.7424 0.7424 0.4849 In
```